Version w
Computed, not measured: AcPAu after structural relaxation at the PBE level of DFT.

Cell: 11.3780 4.4236 6.2875 Å, 90.00 94.37 90.00°
Closest atoms and distances in Å follow each position.
Space group C2/m (No. 12)
Symmetry-distinct sites (fractional):
1 Ac 0.1350 0.0000 0.2449 (multiplicity 4)  5 P 3.08-3.43, 5 Au 3.31-3.39
2 P 0.1659 0.0000 0.7352 (multiplicity 4)  2 Au 2.53
3 Au 0.0805 0.5000 0.8409 (multiplicity 4)  2 P 2.53, 1 Au 2.81

Summary:
Spin magnetization, μB/f.u.: 0.0

***

Version x
Computed, not measured: AcPAu after structural relaxation at the PBE level of DFT.

Cell: 4.2580 4.2580 8.8789 Å, 90.00 90.00 90.00°
Closest atoms and distances in Å follow each position.
Space group I4mm (No. 107)
Symmetry-distinct sites (fractional):
1 Ac 0.0000 0.0000 0.0000 (multiplicity 2)  5 Au 3.04-3.32, 5 P 3.22-3.30
2 P 0.0000 0.0000 0.6283 (multiplicity 2)  1 Au 2.54
3 Au 0.0000 0.0000 0.3427 (multiplicity 2)  1 P 2.54

Summary:
Spin magnetization, μB/f.u.: 0.0

***

Version y
Computed, not measured: AcPAu after structural relaxation at the PBE level of DFT.

Cell: 4.3942 4.3942 4.3817 Å, 90.00 90.00 120.00°
Closest atoms and distances in Å follow each position.
Space group P-6m2 (No. 187)
Symmetry-distinct sites (fractional):
1 Ac 0.0000 0.0000 0.0000 (multiplicity 1)  6 P 3.35, 6 Au 3.35
2 P 0.3333 0.6667 0.5000 (multiplicity 1)  3 Au 2.54
3 Au 0.6667 0.3333 0.5000 (multiplicity 1)  3 P 2.54

Summary:
Spin magnetization, μB/f.u.: 0.0

***

Least stable of them? version x.

***

Version w
Computed, not measured: AcPaAu2 after structural relaxation at the PBE level of DFT.

Cell: 7.5122 7.5122 7.5122 Å, 90.00 90.00 90.00°
Closest atoms and distances in Å follow each position.
Space group Fm-3m (No. 225)
Symmetry-distinct sites (fractional):
1 Ac 0.0000 0.0000 0.0000 (multiplicity 4)  8 Au 3.25
2 Pa 0.0000 0.0000 0.5000 (multiplicity 4)  8 Au 3.25
3 Au 0.2500 0.2500 0.2500 (multiplicity 8)  4 Pa 3.25, 4 Ac 3.25

Summary:
Spin magnetization, μB/f.u.: 1.4

***

Version x
Computed, not measured: AcPaAu2 after structural relaxation at the PBE level of DFT.

Cell: 3.6819 3.6819 7.8182 Å, 90.00 90.00 90.00°
Closest atoms and distances in Å follow each position.
Space group P4/mmm (No. 123)
Symmetry-distinct sites (fractional):
1 Ac 0.0000 0.0000 0.0000 (multiplicity 1)  8 Au 3.38, 4 Ac 3.68
2 Pa 0.0000 0.0000 0.5000 (multiplicity 1)  8 Au 3.14
3 Au 0.5000 0.5000 0.2763 (multiplicity 2)  4 Pa 3.14, 4 Ac 3.38, 1 Au 3.50

Summary:
Spin magnetization, μB/f.u.: 1.4

***

Least stable of them? version w.

***

Version w
Computed, not measured: Ac3Pb3Au2 after structural relaxation at the PBE level of DFT.

Cell: 8.4425 8.4425 4.1190 Å, 90.00 90.00 120.00°
Closest atoms and distances in Å follow each position.
Space group P-62m (No. 189)
Symmetry-distinct sites (fractional):
1 Ac 0.0000 0.5956 0.0000 (multiplicity 3)  4 Au 3.29, 4 Pb 3.61
2 Pb 0.0000 0.2328 0.5000 (multiplicity 3)  2 Au 3.32, 2 Pb 3.40, 6 Ac 3.61-3.69
3 Au 0.3333 0.6667 0.5000 (multiplicity 2)  6 Ac 3.29, 3 Pb 3.32

Summary:
Spin magnetization, μB/f.u.: 0.0

***

Version x
Computed, not measured: Ac3Pb3Au2 after structural relaxation at the PBE level of DFT.

Cell: 4.9334 12.0379 16.8312 Å, 90.00 90.00 90.00°
Closest atoms and distances in Å follow each position.
Space group Cmcm (No. 63)
Symmetry-distinct sites (fractional):
1 Ac 0.0000 0.0850 0.1088 (multiplicity 8)  3 Au 3.45-3.56, 7 Pb 3.49-3.76
2 Ac 0.0000 0.3567 0.2500 (multiplicity 4)  5 Pb 3.43-3.61, 4 Au 3.46
3 Pb 0.0000 0.3583 0.7500 (multiplicity 4)  2 Au 2.99
4 Pb 0.0000 0.3724 0.0356 (multiplicity 8)  3 Au 2.92-3.23
5 Au 0.0000 0.2018 0.6122 (multiplicity 8)  4 Pb 2.92-3.23

Summary:
Spin magnetization, μB/f.u.: 0.0

***

Least stable of them? version x.

***

Version w
Computed, not measured: AcPb2Au after structural relaxation at the PBE level of DFT.

Cell: 4.8595 4.8595 5.0051 Å, 90.00 90.00 90.00°
Closest atoms and distances in Å follow each position.
Space group P4/mmm (No. 123)
Symmetry-distinct sites (fractional):
1 Ac 0.0000 0.0000 0.0000 (multiplicity 1)  4 Au 3.44, 8 Pb 3.49
2 Pb 0.0000 0.5000 0.5000 (multiplicity 2)  4 Pb 3.44, 4 Ac 3.49, 4 Au 3.49
3 Au 0.5000 0.5000 0.0000 (multiplicity 1)  4 Ac 3.44, 8 Pb 3.49

Summary:
Spin magnetization, μB/f.u.: 0.0

***

Version x
Computed, not measured: AcPb2Au after structural relaxation at the PBE level of DFT.

Cell: 5.2165 5.2165 17.4689 Å, 90.00 90.00 90.00°
Closest atoms and distances in Å follow each position.
Space group I4/mmm (No. 139)
Symmetry-distinct sites (fractional):
1 Ac 0.0000 0.0000 0.1421 (multiplicity 4)  4 Au 3.22, 4 Pb 3.60
2 Pb 0.0000 0.0000 0.3619 (multiplicity 4)  4 Au 3.26, 4 Pb 3.55
3 Pb 0.0000 0.5000 0.0000 (multiplicity 4)  8 Pb 3.55-3.69, 4 Ac 3.60
4 Au 0.0000 0.5000 0.2500 (multiplicity 4)  4 Ac 3.22, 4 Pb 3.26

Summary:
Spin magnetization, μB/f.u.: 0.0

***

Version y
Computed, not measured: AcPb2Au after structural relaxation at the PBE level of DFT.

Cell: 4.6958 18.8130 11.0744 Å, 90.00 90.00 90.00°
Closest atoms and distances in Å follow each position.
Space group Cmcm (No. 63)
Symmetry-distinct sites (fractional):
1 Ac 0.0000 0.0000 0.0000 (multiplicity 4)  4 Au 3.44, 4 Pb 3.71
2 Ac 0.0000 0.1819 0.2500 (multiplicity 4)  4 Au 3.46, 9 Pb 3.56-3.73
3 Pb 0.0000 0.2019 0.5852 (multiplicity 8)  3 Au 3.02-3.17, 2 Pb 3.33
4 Pb 0.0000 0.3783 0.2500 (multiplicity 4)  5 Pb 3.04-3.33, 2 Au 3.19
5 Pb 0.0000 0.4601 0.7500 (multiplicity 4)  2 Au 2.92, 1 Pb 3.04
6 Au 0.0000 0.3681 0.5374 (multiplicity 8)  5 Pb 2.92-3.19

Summary:
Spin magnetization, μB/f.u.: 0.0

***

Version z
Computed, not measured: AcPb2Au after structural relaxation at the PBE level of DFT.

Cell: 3.7747 3.7747 32.5598 Å, 90.00 90.00 120.00°
Closest atoms and distances in Å follow each position.
Space group R-3m (No. 166, hexagonal axes)
Symmetry-distinct sites (fractional):
1 Ac 0.0000 0.0000 0.0000 (multiplicity 3)  2 Pb 3.42, 6 Ac 3.77
2 Pb 0.0000 0.0000 0.1051 (multiplicity 6)  3 Au 2.96
3 Au 0.0000 0.0000 0.5000 (multiplicity 3)  6 Pb 2.96

Summary:
Spin magnetization, μB/f.u.: 0.0

***

Least stable of them? version z.

***

Version w
Computed, not measured: Ac4Pb2Au after structural relaxation at the PBE level of DFT.

Cell: 5.7469 5.7469 18.0131 Å, 90.00 90.00 90.00°
Closest atoms and distances in Å follow each position.
Space group I4/mmm (No. 139)
Symmetry-distinct sites (fractional):
1 Ac 0.0000 0.0000 0.1822 (multiplicity 4)  1 Au 3.28, 1 Pb 3.36
2 Ac 0.0000 0.5000 0.0000 (multiplicity 4)  2 Au 2.87
3 Pb 0.0000 0.0000 0.3689 (multiplicity 4)  5 Ac 3.36-3.72
4 Au 0.0000 0.0000 0.0000 (multiplicity 2)  4 Ac 2.87

Summary:
Spin magnetization, μB/f.u.: 0.0

***

Version x
Computed, not measured: Ac4Pb2Au after structural relaxation at the PBE level of DFT.

Cell: 7.5019 7.4782 9.5663 Å, 90.00 103.44 90.00°
Closest atoms and distances in Å follow each position.
Space group P2_1/m (No. 11)
Symmetry-distinct sites (fractional):
1 Ac 0.1705 0.0085 0.2804 (multiplicity 4)  1 Au 3.11
2 Ac 0.3178 0.7500 0.6644 (multiplicity 2)  1 Au 3.12, 2 Pb 3.38-3.43
3 Ac 0.3263 0.2500 0.9214 (multiplicity 2)  2 Pb 3.40-3.66, 1 Au 3.52
4 Pb 0.1718 0.7500 0.9732 (multiplicity 2)  6 Ac 3.38-3.66
5 Pb 0.4352 0.2500 0.5958 (multiplicity 2)  1 Au 2.84
6 Au 0.0506 0.2500 0.5692 (multiplicity 2)  1 Pb 2.84, 3 Ac 3.11-3.12

Summary:
Spin magnetization, μB/f.u.: 0.0

***

Least stable of them? version w.

***

Version w
Computed, not measured: Ac3PbAu2 after structural relaxation at the PBE level of DFT.

Cell: 3.8490 3.8490 12.8740 Å, 90.00 90.00 90.00°
Closest atoms and distances in Å follow each position.
Space group P4/mmm (No. 123)
Symmetry-distinct sites (fractional):
1 Ac 0.0000 0.0000 0.0000 (multiplicity 1)  8 Au 3.37
2 Ac 0.0000 0.0000 0.3089 (multiplicity 2)  4 Au 3.37, 4 Pb 3.67
3 Pb 0.5000 0.5000 0.5000 (multiplicity 1)  8 Ac 3.67, 4 Pb 3.85
4 Au 0.5000 0.5000 0.1547 (multiplicity 2)  8 Ac 3.37

Summary:
Spin magnetization, μB/f.u.: 0.0

***

Version x
Computed, not measured: Ac3PbAu2 after structural relaxation at the PBE level of DFT.

Cell: 4.4918 17.9589 4.8894 Å, 90.00 90.00 90.00°
Closest atoms and distances in Å follow each position.
Space group Cmmm (No. 65)
Symmetry-distinct sites (fractional):
1 Ac 0.0000 0.0000 0.0000 (multiplicity 2)  4 Pb 3.32, 4 Au 3.48
2 Ac 0.0000 0.1650 0.5000 (multiplicity 4)  4 Au 3.33, 2 Pb 3.72
3 Pb 0.0000 0.5000 0.5000 (multiplicity 2)  8 Ac 3.32-3.72, 4 Au 3.61
4 Au 0.0000 0.3523 0.0000 (multiplicity 4)  6 Ac 3.33-3.48, 2 Pb 3.61

Summary:
Spin magnetization, μB/f.u.: 0.0

***

Least stable of them? version x.

***

Version w
Computed, not measured: Ac2Pd2Au after structural relaxation at the PBE level of DFT.

Cell: 4.3017 15.1542 4.0441 Å, 90.00 90.00 90.00°
Closest atoms and distances in Å follow each position.
Space group Cmmm (No. 65)
Symmetry-distinct sites (fractional):
1 Ac 0.0000 0.1282 0.0000 (multiplicity 4)  6 Pd 3.10-3.42
2 Pd 0.0000 0.3101 0.5000 (multiplicity 4)  2 Pd 2.82, 1 Au 2.88, 4 Ac 3.10
3 Au 0.0000 0.5000 0.5000 (multiplicity 2)  2 Pd 2.88

Summary:
Spin magnetization, μB/f.u.: 0.0

***

Version x
Computed, not measured: Ac2Pd2Au after structural relaxation at the PBE level of DFT.

Cell: 8.0127 8.0127 4.0804 Å, 90.00 90.00 90.00°
Closest atoms and distances in Å follow each position.
Space group P4/mbm (No. 127)
Symmetry-distinct sites (fractional):
1 Ac 0.1792 0.3208 0.0000 (multiplicity 4)  6 Pd 3.02-3.20
2 Pd 0.1243 0.6243 0.5000 (multiplicity 4)  1 Pd 2.82, 2 Ac 3.02
3 Au 0.0000 0.0000 0.5000 (multiplicity 2)  4 Pd 3.17

Summary:
Spin magnetization, μB/f.u.: 0.0

***

Least stable of them? version x.

***

Version w
Computed, not measured: Ac3Pd3Au2 after structural relaxation at the PBE level of DFT.

Cell: 4.5816 11.5827 15.9682 Å, 90.00 90.00 90.00°
Closest atoms and distances in Å follow each position.
Space group Cmcm (No. 63)
Symmetry-distinct sites (fractional):
1 Ac 0.0000 0.1104 0.0942 (multiplicity 8)  7 Pd 3.22-3.48, 4 Au 3.27-3.50
2 Ac 0.0000 0.3850 0.2500 (multiplicity 4)  3 Pd 3.06-3.25, 4 Au 3.26
3 Pd 0.0000 0.3512 0.7500 (multiplicity 4)  2 Au 2.85, 1 Ac 3.06
4 Pd 0.0000 0.4038 0.0468 (multiplicity 8)  1 Pd 2.68, 2 Au 2.76
5 Au 0.0000 0.1900 0.6150 (multiplicity 8)  3 Pd 2.76-2.85

Summary:
Spin magnetization, μB/f.u.: 0.0

***

Version x
Computed, not measured: Ac3Pd3Au2 after structural relaxation at the PBE level of DFT.

Cell: 4.4675 10.4928 19.3115 Å, 90.00 90.00 90.00°
Closest atoms and distances in Å follow each position.
Space group Cmcm (No. 63)
Symmetry-distinct sites (fractional):
1 Ac 0.0000 0.1366 0.0706 (multiplicity 8)  3 Pd 2.94-3.24, 2 Au 3.20
2 Ac 0.0000 0.1557 0.7500 (multiplicity 4)  3 Pd 3.06-3.15, 4 Au 3.35
3 Pd 0.0000 0.1450 0.2500 (multiplicity 4)  4 Au 2.85, 3 Ac 3.06-3.15
4 Pd 0.0000 0.4146 0.0534 (multiplicity 8)  1 Pd 2.73, 1 Au 2.74, 1 Ac 2.94
5 Au 0.0000 0.4587 0.6772 (multiplicity 8)  3 Pd 2.74-2.85, 1 Au 2.81

Summary:
Spin magnetization, μB/f.u.: 0.0

***

Least stable of them? version x.

***

Version w
Computed, not measured: AcPdAu3 after structural relaxation at the PBE level of DFT.

Cell: 8.5259 6.1276 9.1195 Å, 90.00 108.77 90.00°
Closest atoms and distances in Å follow each position.
Space group P2_1/c (No. 14)
Symmetry-distinct sites (fractional):
1 Ac 0.2369 0.0689 0.2506 (multiplicity 4)  3 Pd 3.08-3.20, 9 Au 3.26-3.40
2 Pd 0.0113 0.2096 0.4543 (multiplicity 4)  1 Pd 2.73, 5 Au 2.77-3.05
3 Au 0.1748 0.5641 0.3760 (multiplicity 4)  3 Pd 2.80-3.05, 2 Au 2.85-2.95
4 Au 0.3108 0.5572 0.1171 (multiplicity 4)  2 Pd 2.77-2.99, 4 Au 2.79-3.09
5 Au 0.4910 0.2031 0.0646 (multiplicity 4)  5 Au 2.78-3.09

Summary:
Spin magnetization, μB/f.u.: 0.0

***

Version x
Computed, not measured: AcPdAu3 after structural relaxation at the PBE level of DFT.

Cell: 9.4680 5.0445 9.4337 Å, 90.00 90.00 90.00°
Closest atoms and distances in Å follow each position.
Space group Pnma (No. 62)
Symmetry-distinct sites (fractional):
1 Ac 0.2453 0.2500 0.0078 (multiplicity 4)  2 Pd 3.15, 8 Au 3.24-3.50
2 Pd 0.1055 0.7500 0.1512 (multiplicity 4)  3 Au 2.65-2.81
3 Au 0.0889 0.7500 0.8546 (multiplicity 4)  2 Au 2.69-2.87, 1 Pd 2.80
4 Au 0.0976 0.2500 0.6556 (multiplicity 4)  2 Pd 2.65-2.81, 1 Au 2.87
5 Au 0.1077 0.2500 0.3516 (multiplicity 4)  3 Au 2.69-2.87

Summary:
Spin magnetization, μB/f.u.: 0.0

***

Least stable of them? version x.

***

Version w
Computed, not measured: Ac4Pd3Au after structural relaxation at the PBE level of DFT.

Cell: 4.1452 4.8502 11.5880 Å, 90.00 90.00 90.00°
Closest atoms and distances in Å follow each position.
Space group Pmm2 (No. 25)
Symmetry-distinct sites (fractional):
1 Ac 0.0000 0.0000 0.0000 (multiplicity 1)  6 Pd 3.23-3.26, 1 Au 3.31
2 Ac 0.0000 0.5000 0.2639 (multiplicity 1)  7 Pd 3.21-3.30
3 Ac 0.5000 0.0000 0.4897 (multiplicity 1)  5 Pd 3.16-3.25, 2 Au 3.33
4 Ac 0.5000 0.5000 0.7659 (multiplicity 1)  3 Pd 3.20-3.33, 4 Au 3.24
5 Pd 0.0000 0.5000 0.5412 (multiplicity 1)  2 Au 3.15, 7 Ac 3.21-3.33
6 Pd 0.5000 0.0000 0.2168 (multiplicity 1)  2 Pd 3.16, 7 Ac 3.16-3.26
7 Pd 0.5000 0.5000 0.0423 (multiplicity 1)  2 Pd 3.16, 7 Ac 3.20-3.30
8 Au 0.0000 0.0000 0.7148 (multiplicity 1)  2 Pd 3.15, 7 Ac 3.24-3.33

Summary:
Spin magnetization, μB/f.u.: 0.0

***

Version x
Computed, not measured: Ac4Pd3Au after structural relaxation at the PBE level of DFT.

Cell: 6.3009 6.3009 6.3009 Å, 90.00 90.00 90.00°
Closest atoms and distances in Å follow each position.
Space group Pm-3m (No. 221)
Symmetry-distinct sites (fractional):
1 Ac 0.0000 0.0000 0.0000 (multiplicity 1)  6 Pd 3.15
2 Ac 0.0000 0.5000 0.5000 (multiplicity 3)  2 Au 3.15, 4 Pd 3.15
3 Pd 0.0000 0.0000 0.5000 (multiplicity 3)  6 Ac 3.15
4 Au 0.5000 0.5000 0.5000 (multiplicity 1)  6 Ac 3.15

Summary:
Spin magnetization, μB/f.u.: 0.0

***

Least stable of them? version x.